Here is CeIn2Au after structural relaxation from Alexandria. Energies are from PBE.

```
8
Lattice="5.026 0.000 0.000 0.000 5.026 0.000 0.000 0.000 7.889" Properties=species:S:1:pos:R:3 pbc="T T T"
Ce 0.000 2.513 1.720
Ce 2.513 0.000 6.170
In 0.000 0.000 3.945
In 2.513 2.513 3.945
In 0.000 2.513 6.050
In 2.513 0.000 1.839
Au 0.000 0.000 0.000
Au 2.513 2.513 0.000
```

Calculated values
- density of states at the Fermi level (states/eV per cell) = 12.31
- energy above the most stable polymorph in this dataset (meV/atom) = 51.7